(1)
# TiBe2PdPb (PBE-GGA, optimized geometry)
data_TiBe2PdPb
_space_group_name_H-M_alt 'P 4/m m m'
_space_group_IT_number 123
_space_group_name_Hall '-P 4 2'
_cell_length_a 4.416
_cell_length_b 4.416
_cell_length_c 5.307
_cell_angle_alpha 90.00
_cell_angle_beta 90.00
_cell_angle_gamma 90.00
loop_
_atom_site_label
_atom_site_fract_x
_atom_site_fract_y
_atom_site_fract_z
_atom_site_occupancy
Ti1 0.000 0.000 0.000 1
Be1 0.000 0.500 0.500 1
Pd1 0.500 0.500 0.000 1
Pb1 0.000 0.000 0.500 1
# Size of the total moment   0.00 μB/cell
# Raw total energy   -18.1 eV for the cell shown
# Calculated volume   20.70 A^3/atom

=====

(2)
# Ce6Al2C (PBE-GGA, optimized geometry)
data_Ce6Al2C
_space_group_name_H-M_alt 'I 4/m m m'
_space_group_IT_number 139
_space_group_name_Hall '-I 4 2'
_cell_length_a 6.725
_cell_length_b 6.725
_cell_length_c 9.502
_cell_angle_alpha 90.00
_cell_angle_beta 90.00
_cell_angle_gamma 90.00
loop_
_atom_site_label
_atom_site_fract_x
_atom_site_fract_y
_atom_site_fract_z
_atom_site_occupancy
Ce1 0.000 0.000 0.244 1
Ce2 0.244 0.244 0.000 1
Al1 0.000 0.500 0.250 1
C1 0.000 0.000 0.500 1
# Size of the total moment   6.77 μB/cell
# Raw total energy   -108.2 eV for the cell shown
# Calculated volume   23.87 A^3/atom

=====

(3)
# La2PrF (PBE-GGA, optimized geometry)
data_La2PrF
_space_group_name_H-M_alt 'R -3 m'
_space_group_IT_number 166
_space_group_name_Hall '-R 3 2"'
_cell_length_a 3.8095
_cell_length_b 3.8095
_cell_length_c 28.8884
_cell_angle_alpha 90.00
_cell_angle_beta 90.00
_cell_angle_gamma 120.00
loop_
_atom_site_label
_atom_site_fract_x
_atom_site_fract_y
_atom_site_fract_z
_atom_site_occupancy
La1 0.0000 0.0000 0.1164 1
Pr1 0.0000 0.0000 0.0000 1
F1 0.0000 0.0000 0.5000 1
# Size of the total moment   0.02 μB/cell
# Calculated volume   30.26 A^3/atom
# ΔE_f (raw)   -0.99 eV per atom